Density functional theory data (GGA+U) for crystalline CaPm2MoO6 at its relaxed geometry.

Results
* SG: No. 1
* magnetization: 2.0 μB per formula unit
* electronic total energy: -7.655 eV/atom

```
data_CaPm2MoO6
_space_group_name_H-M_alt 'P 1'
_space_group_IT_number 1
_cell_length_a 5.791
_cell_length_b 5.819
_cell_length_c 6.043
_cell_angle_alpha 60.39
_cell_angle_beta 61.38
_cell_angle_gamma 60.47
loop_
_space_group_symop_operation_xyz
'x,y,z'
loop_
_atom_site_label
_atom_site_type_symbol
_atom_site_fract_x
_atom_site_fract_y
_atom_site_fract_z
Mo1 Mo 0.321 0.316 0.046
O1 O 0.958 0.592 0.257
O2 O 0.120 0.426 0.782
O3 O 0.201 0.967 0.251
O4 O 0.425 0.674 0.772
O5 O 0.679 0.120 0.771
O6 O 0.580 0.204 0.251
Ca1 Ca 0.810 0.806 0.576
Pm1 Pm 0.029 0.025 0.912
Pm2 Pm 0.538 0.531 0.399
```